Run 1
Computed, not measured: a crystal of Li2AlTe relaxed with PBEsol at the meta-GGA SCAN level of DFT.

Cell: 9.1030 9.1030 9.1030 Å, 20.54 20.54 20.54°
With the nearest neighbours (Å) after each atom.
Element x y z (fractional)
Li: 0.2482 0.2482 0.2482  3 Te 2.87, 3 Al 2.95
Li: 0.7518 0.7518 0.7518  3 Te 2.87, 3 Al 2.95
Al: 0.0000 0.0000 0.0000  6 Li 2.95, 6 Al 3.25
Te: 0.5000 0.5000 0.5000  6 Li 2.87

Output
Space group ... R-3m
Magnetic moment ... 0.00 μB/atom



Run 2
Computed, not measured: a crystal of Li2AlTe relaxed with PBEsol at the meta-GGA SCAN level of DFT.

Cell: 4.3740 4.3740 4.0780 Å, 90.00 90.00 90.00°
With the nearest neighbours (Å) after each atom.
Element x y z (fractional)
Li: 0.0000 0.5000 0.0000  4 Te 2.99, 4 Al 2.99, 4 Li 3.09
Li: 0.5000 0.0000 0.0000  4 Te 2.99, 4 Al 2.99, 4 Li 3.09
Al: 0.0000 0.0000 0.5000  8 Li 2.99, 4 Te 3.09
Te: 0.5000 0.5000 0.5000  8 Li 2.99, 4 Al 3.09

Output
Space group ... P4/mmm
Magnetic moment ... 0.00 μB/atom



Run 3
Computed, not measured: a crystal of Li2AlTe relaxed with PBEsol at the meta-GGA SCAN level of DFT.

Cell: 4.9526 4.9526 4.9526 Å, 60.00 60.00 60.00°
With the nearest neighbours (Å) after each atom.
Element x y z (fractional)
Li: 0.0000 0.0000 0.0000  4 Al 3.03, 4 Li 3.03
Li: 0.2500 0.2500 0.2500  4 Te 3.03, 4 Li 3.03
Al: 0.7500 0.7500 0.7500  4 Te 3.03, 4 Li 3.03
Te: 0.5000 0.5000 0.5000  4 Al 3.03, 4 Li 3.03

Output
Space group ... F-43m
Magnetic moment ... 0.02 μB/atom



Result of the stability comparison: run 2 is the most stable of them.



Run 1
Computed, not measured: a crystal of Lu3AlO6 relaxed with PBEsol at the meta-GGA SCAN level of DFT.

Cell: 6.8387 6.8387 5.2171 Å, 90.00 90.00 102.77°
With the nearest neighbours (Å) after each atom.
Element x y z (fractional)
Lu: 0.1020 0.8980 0.5000  7 O 2.18-2.34
Lu: 0.2025 0.4130 0.5490  5 O 2.12-2.31
Lu: 0.4130 0.2025 0.0490  5 O 2.12-2.31
Lu: 0.5870 0.7975 0.5490  5 O 2.12-2.31
Lu: 0.7975 0.5870 0.0490  5 O 2.12-2.31
Lu: 0.8980 0.1020 0.0000  7 O 2.18-2.34
Al: 0.3050 0.6950 0.0819  4 O 1.77-1.79
Al: 0.6950 0.3050 0.5819  4 O 1.77-1.79
O: 0.0789 0.6069 0.2552  1 Al 1.78
O: 0.1432 0.1783 0.2750  4 Lu 2.12-2.21
O: 0.1783 0.1432 0.7750  4 Lu 2.12-2.21
O: 0.2846 0.7154 0.7460  1 Al 1.77
O: 0.3931 0.9211 0.2552  1 Al 1.78
O: 0.4589 0.5411 0.2163  1 Al 1.79
O: 0.5411 0.4589 0.7163  1 Al 1.79
O: 0.6069 0.0789 0.7552  1 Al 1.78
O: 0.7154 0.2846 0.2460  1 Al 1.77
O: 0.8217 0.8568 0.2750  4 Lu 2.12-2.21
O: 0.8568 0.8217 0.7750  4 Lu 2.12-2.21
O: 0.9211 0.3931 0.7552  1 Al 1.78

Output
Space group ... Cmc2_1
Magnetic moment ... 0.00 μB/atom



Run 2
Computed, not measured: a crystal of Lu3AlO6 relaxed with PBEsol at the meta-GGA SCAN level of DFT.

Cell: 6.2253 6.2253 6.2253 Å, 92.40 92.40 92.40°
With the nearest neighbours (Å) after each atom.
Element x y z (fractional)
Lu: 0.0655 0.5714 0.7551  6 O 2.14-2.25
Lu: 0.2449 0.9345 0.4286  6 O 2.14-2.25
Lu: 0.4286 0.2449 0.9345  6 O 2.14-2.25
Lu: 0.5714 0.7551 0.0655  6 O 2.14-2.25
Lu: 0.7551 0.0655 0.5714  6 O 2.14-2.25
Lu: 0.9345 0.4286 0.2449  6 O 2.14-2.25
Al: 0.0000 0.0000 0.0000  6 O 1.92
Al: 0.5000 0.5000 0.5000  6 O 1.96
O: 0.0430 0.9154 0.7046  1 Al 1.92
O: 0.0846 0.2954 0.9569  1 Al 1.92
O: 0.2029 0.5746 0.4300  1 Al 1.96, 1 Lu 2.14
O: 0.2954 0.9570 0.0846  1 Al 1.92
O: 0.4254 0.5700 0.7971  1 Al 1.96, 1 Lu 2.14
O: 0.4300 0.2029 0.5746  1 Al 1.96, 1 Lu 2.14
O: 0.5700 0.7971 0.4254  1 Al 1.96, 1 Lu 2.14
O: 0.5746 0.4300 0.2029  1 Al 1.96, 1 Lu 2.14
O: 0.7046 0.0431 0.9154  1 Al 1.92
O: 0.7971 0.4254 0.5700  1 Al 1.96, 1 Lu 2.14
O: 0.9154 0.7046 0.0430  1 Al 1.92
O: 0.9569 0.0846 0.2954  1 Al 1.92

Output
Space group ... R-3
Magnetic moment ... 0.00 μB/atom



Result of the stability comparison: run 2 is the most stable of them.